Here is a relaxed structure of Pu2Fe3Ge4 from the Alexandria database. Energies are from PBE-GGA. Values from VASP.

## Properties
Density (Mg/m³): 10.56
Formation enthalpy at 0 K (eV/atom): -0.295
Density of states at the Fermi level (states/eV/atom): 1.81
Space-group type: Cmce

```
&SYSTEM
  ibrav = 0, nat = 18, ntyp = 3
/
ATOMIC_SPECIES
Pu 244.00 Pu.upf
Fe 55.84 Fe.upf
Ge 72.64 Ge.upf
CELL_PARAMETERS angstrom
5.2840 0.0000 -2.0701
0.0000 7.2934 0.0000
-0.0201 0.0000 7.7276
ATOMIC_POSITIONS crystal
Pu 0.6155 0.9101 0.2311
Pu 0.1155 0.5899 0.2311
Pu 0.3845 0.0899 0.7689
Pu 0.8845 0.4101 0.7689
Fe 0.5000 0.5000 0.0000
Fe 0.0000 0.0000 0.0000
Fe 0.5231 0.7500 0.5462
Fe 0.4769 0.2500 0.4538
Fe 0.0231 0.7500 0.5462
Fe 0.9769 0.2500 0.4538
Ge 0.6794 0.5207 0.3588
Ge 0.1976 0.7500 0.8952
Ge 0.3206 0.4793 0.6412
Ge 0.3024 0.2500 0.1048
Ge 0.8024 0.2500 0.1048
Ge 0.6976 0.7500 0.8952
Ge 0.1794 0.9793 0.3588
Ge 0.8206 0.0207 0.6412
```


Here is a relaxed structure of Pu2Fe2Ge from the Alexandria database. Energies are from PBE-GGA. Values from VASP.

## Properties
Density (Mg/m³): 12.61
Formation enthalpy at 0 K (eV/atom): -0.207
Density of states at the Fermi level (states/eV/atom): 2.29
Space-group type: P4/mbm

```
&SYSTEM
  ibrav = 0, nat = 20, ntyp = 3
/
ATOMIC_SPECIES
Fe 55.84 Fe.upf
Pu 244.00 Pu.upf
Ge 72.64 Ge.upf
CELL_PARAMETERS angstrom
-5.0532 3.5510 3.1417
-1.7913 -5.6810 3.5401
4.6731 1.8836 5.3873
ATOMIC_POSITIONS crystal
Fe 0.6333 0.1333 0.2500
Fe 0.3667 0.8667 0.2500
Fe 0.1333 0.3667 0.7500
Fe 0.3667 0.8667 0.7500
Fe 0.1333 0.3667 0.2500
Fe 0.8667 0.6333 0.2500
Fe 0.8667 0.6333 0.7500
Fe 0.6333 0.1333 0.7500
Pu 0.1772 0.6773 0.0000
Pu 0.3228 0.1773 0.5000
Pu 0.3227 0.1772 0.0000
Pu 0.6773 0.8228 0.0000
Pu 0.6772 0.8227 0.5000
Pu 0.1773 0.6772 0.5000
Pu 0.8228 0.3227 0.0000
Pu 0.8227 0.3228 0.5000
Ge 0.0000 0.0000 0.7499
Ge 0.5000 0.5000 0.2499
Ge 0.5000 0.5000 0.7501
Ge 0.0000 0.0000 0.2501
```


Here is a relaxed structure of Pu12FeGe6 from the Alexandria database. Energies are from PBE-GGA. Values from VASP.

## Properties
Density (Mg/m³): 13.47
Formation enthalpy at 0 K (eV/atom): -0.105
Density of states at the Fermi level (states/eV/atom): 2.62
Space-group type: R-3

```
&SYSTEM
  ibrav = 0, nat = 19, ntyp = 3
/
ATOMIC_SPECIES
Pu 244.00 Pu.upf
Ge 72.64 Ge.upf
Fe 55.84 Fe.upf
CELL_PARAMETERS angstrom
7.4387 0.6117 0.7328
-0.5231 7.4454 0.7328
-0.5231 -0.6095 7.4566
ATOMIC_POSITIONS crystal
Pu 0.3293 0.0547 0.9563
Pu 0.9563 0.3293 0.0547
Pu 0.6035 0.6278 0.1247
Pu 0.8753 0.3965 0.3722
Pu 0.3965 0.3722 0.8753
Pu 0.6707 0.9453 0.0437
Pu 0.6278 0.1247 0.6035
Pu 0.0547 0.9563 0.3293
Pu 0.0437 0.6707 0.9453
Pu 0.1247 0.6035 0.6278
Pu 0.3722 0.8753 0.3965
Pu 0.9453 0.0437 0.6707
Ge 0.2500 0.2410 0.5220
Ge 0.2410 0.5220 0.2500
Ge 0.4780 0.7500 0.7590
Ge 0.5220 0.2500 0.2410
Ge 0.7500 0.7590 0.4780
Ge 0.7590 0.4780 0.7500
Fe 0.0000 0.0000 0.0000
```


Here is a relaxed structure of PuFeGe2 from the Alexandria database. Energies are from PBE-GGA. Values from VASP.

## Properties
Density (Mg/m³): 10.38
Formation enthalpy at 0 K (eV/atom): -0.334
Density of states at the Fermi level (states/eV/atom): 2.38
Space-group type: Pnma

```
&SYSTEM
  ibrav = 0, nat = 16, ntyp = 3
/
ATOMIC_SPECIES
Ge 72.64 Ge.upf
Pu 244.00 Pu.upf
Fe 55.84 Fe.upf
CELL_PARAMETERS angstrom
-2.4757 -2.4176 -2.3840
4.0239 -5.1768 1.0712
-5.4545 -2.5356 8.2355
ATOMIC_POSITIONS crystal
Ge 0.2500 0.3800 0.6765
Ge 0.2500 0.8041 0.4238
Ge 0.7500 0.1200 0.1765
Ge 0.7500 0.1959 0.5762
Ge 0.7500 0.6959 0.9238
Ge 0.2500 0.8800 0.8235
Ge 0.2500 0.3041 0.0762
Ge 0.7500 0.6200 0.3235
Pu 0.2500 0.3047 0.3707
Pu 0.2500 0.8047 0.1293
Pu 0.7500 0.1953 0.8707
Pu 0.7500 0.6953 0.6293
Fe 0.7500 0.9874 0.3920
Fe 0.7500 0.4874 0.1080
Fe 0.2500 0.5126 0.8920
Fe 0.2500 0.0126 0.6080
```


Here is a relaxed structure of Pu2FeGe3 from the Alexandria database. Energies are from PBE-GGA. Values from VASP.

## Properties
Density (Mg/m³): 11.28
Formation enthalpy at 0 K (eV/atom): -0.310
Density of states at the Fermi level (states/eV/atom): 2.29
Space-group type: Cm

```
&SYSTEM
  ibrav = 0, nat = 6, ntyp = 3
/
ATOMIC_SPECIES
Ge 72.64 Ge.upf
Fe 55.84 Fe.upf
Pu 244.00 Pu.upf
CELL_PARAMETERS angstrom
3.9530 0.0000 1.6555
1.6067 5.1606 1.7108
-0.0070 0.3404 5.5639
ATOMIC_POSITIONS crystal
Ge 0.7831 0.2697 0.1641
Ge 0.1931 0.7346 0.8793
Ge 0.8795 0.5933 0.6476
Fe 0.1583 0.3939 0.2894
Pu 0.5382 0.1606 0.7631
Pu 0.4478 0.8478 0.2566
```


Here is a relaxed structure of Pu4FeGe3 from the Alexandria database. Energies are from PBE-GGA. Values from VASP.

## Properties
Density (Mg/m³): 13.69
Formation enthalpy at 0 K (eV/atom): 0.050
Density of states at the Fermi level (states/eV/atom): 1.93
Space-group type: Pmm2

```
&SYSTEM
  ibrav = 0, nat = 8, ntyp = 3
/
ATOMIC_SPECIES
Pu 244.00 Pu.upf
Ge 72.64 Ge.upf
Fe 55.84 Fe.upf
CELL_PARAMETERS angstrom
-4.1012 -0.4398 2.5665
1.8723 -0.3942 2.9243
-0.1442 8.8348 1.2834
ATOMIC_POSITIONS crystal
Pu 0.0000 0.0000 0.0890
Pu 0.0000 0.5000 0.9181
Pu 0.5000 0.0000 0.5695
Pu 0.5000 0.5000 0.3863
Ge 0.0000 0.5000 0.6064
Ge 0.5000 0.0000 0.9092
Ge 0.0000 0.0000 0.3928
Fe 0.5000 0.5000 0.1286
```


Here is a relaxed structure of Pu5FeGe4 from the Alexandria database. Energies are from PBE-GGA. Values from VASP.

## Properties
Density (Mg/m³): 11.61
Formation enthalpy at 0 K (eV/atom): -0.125
Density of states at the Fermi level (states/eV/atom): 3.62
Space-group type: C2/m

```
&SYSTEM
  ibrav = 0, nat = 10, ntyp = 3
/
ATOMIC_SPECIES
Ge 72.64 Ge.upf
Fe 55.84 Fe.upf
Pu 244.00 Pu.upf
CELL_PARAMETERS angstrom
-2.8012 0.3837 -2.5049
0.0658 -7.6919 -1.2520
-3.6935 -2.1913 6.6427
ATOMIC_POSITIONS crystal
Ge 0.0205 0.2052 0.0409
Ge 0.6409 0.1418 0.2818
Ge 0.3591 0.8582 0.7182
Ge 0.9795 0.7948 0.9591
Fe 0.5000 0.0000 0.0000
Pu 0.8369 0.1528 0.6738
Pu 0.5000 0.5000 0.0000
Pu 0.8183 0.5864 0.6366
Pu 0.1631 0.8472 0.3262
Pu 0.1817 0.4136 0.3634
```


Here is a relaxed structure of Pu5FeGe2 from the Alexandria database. Energies are from PBE-GGA. Values from VASP.

## Properties
Density (Mg/m³): 12.85
Formation enthalpy at 0 K (eV/atom): -0.244
Density of states at the Fermi level (states/eV/atom): 3.55
Space-group type: Pbam

```
&SYSTEM
  ibrav = 0, nat = 16, ntyp = 3
/
ATOMIC_SPECIES
Pu 244.00 Pu.upf
Fe 55.84 Fe.upf
Ge 72.64 Ge.upf
CELL_PARAMETERS angstrom
-3.8416 2.2102 -0.2108
-3.3949 -6.0965 -2.0536
-2.0544 -2.5302 10.9076
ATOMIC_POSITIONS crystal
Pu 0.0000 0.1315 0.2907
Pu 0.5000 0.1978 0.5702
Pu 0.0000 0.6315 0.2093
Pu 0.0000 0.8685 0.7093
Pu 0.5000 0.3022 0.0702
Pu 0.0000 0.5000 0.5000
Pu 0.0000 0.0000 0.0000
Pu 0.5000 0.8022 0.4298
Pu 0.0000 0.3685 0.7907
Pu 0.5000 0.6978 0.9298
Fe 0.0000 0.5000 0.0000
Fe 0.0000 0.0000 0.5000
Ge 0.5000 0.4098 0.3309
Ge 0.5000 0.5902 0.6691
Ge 0.5000 0.9098 0.1691
Ge 0.5000 0.0902 0.8309
```


Here is a relaxed structure of PuFe12Ge6 from the Alexandria database. Energies are from PBE-GGA. Values from VASP.

## Properties
Density (Mg/m³): 8.25
Formation enthalpy at 0 K (eV/atom): 0.074
Density of states at the Fermi level (states/eV/atom): 1.70
Space-group type: R-3m

```
&SYSTEM
  ibrav = 0, nat = 19, ntyp = 3
/
ATOMIC_SPECIES
Ge 72.64 Ge.upf
Fe 55.84 Fe.upf
Pu 244.00 Pu.upf
CELL_PARAMETERS angstrom
-5.3723 -3.4418 2.2044
3.0486 -4.2034 -4.3133
4.1433 0.2596 5.3228
ATOMIC_POSITIONS crystal
Ge 0.7440 0.2720 0.7440
Ge 0.7440 0.7440 0.2720
Ge 0.7280 0.2560 0.2560
Ge 0.2720 0.7440 0.7440
Ge 0.2560 0.7280 0.2560
Ge 0.2560 0.2560 0.7280
Fe 0.4210 0.4210 0.1715
Fe 0.1715 0.4210 0.4210
Fe 0.8885 0.1115 0.5000
Fe 0.8885 0.5000 0.1115
Fe 0.5000 0.1115 0.8885
Fe 0.5000 0.8885 0.1115
Fe 0.1115 0.8885 0.5000
Fe 0.4210 0.1715 0.4210
Fe 0.5790 0.5790 0.8285
Fe 0.5790 0.8285 0.5790
Fe 0.8285 0.5790 0.5790
Fe 0.1115 0.5000 0.8885
Pu 0.0000 0.0000 0.0000
```


Here is a relaxed structure of Pu4FeGe8 from the Alexandria database. Energies are from PBE-GGA. Values from VASP.

## Properties
Density (Mg/m³): 10.42
Formation enthalpy at 0 K (eV/atom): -0.200
Density of states at the Fermi level (states/eV/atom): 2.86
Space-group type: Pmm2

```
&SYSTEM
  ibrav = 0, nat = 13, ntyp = 3
/
ATOMIC_SPECIES
Ge 72.64 Ge.upf
Pu 244.00 Pu.upf
Fe 55.84 Fe.upf
CELL_PARAMETERS angstrom
-1.4139 -2.7482 2.6374
0.8861 -3.0821 -2.7365
13.7162 -1.3429 5.9539
ATOMIC_POSITIONS crystal
Ge 0.0000 0.5000 0.9393
Ge 0.5000 0.5000 0.0675
Ge 0.5000 0.5000 0.7657
Ge 0.0000 0.5000 0.2263
Ge 0.0000 0.0000 0.4568
Ge 0.0000 0.0000 0.7547
Ge 0.5000 0.0000 0.5674
Ge 0.5000 0.0000 0.2257
Pu 0.0000 0.5000 0.6096
Pu 0.5000 0.5000 0.3925
Pu 0.5000 0.0000 0.9086
Pu 0.0000 0.0000 0.0889
Fe 0.0000 0.0000 0.3001
```